Version w
Here is BaNbI3 after structural relaxation from Alexandria. Energies are from GGA-PBE.

Results
For the total moment, the calculation gives 4.00 μB/cell.

Cell: 6.656 6.656 6.656 Å, 90.00 90.00 90.00°
Fractional coordinates of all 5 atoms:
I (0.000, 0.500, 0.000)
I (0.000, 0.000, 0.500)
I (0.500, 0.000, 0.000)
Nb (0.500, 0.500, 0.500)
Ba (0.000, 0.000, 0.000)

=====

Version x
Here is BaNbI3 after structural relaxation from Alexandria. Energies are from GGA-PBE.

Results
For the total moment, the calculation gives 3.27 μB/cell.

Cell: 5.762 5.762 5.762 Å, 90.00 90.00 90.00°
Fractional coordinates of all 5 atoms:
I (0.000, 0.500, 0.000)
I (0.000, 0.000, 0.500)
I (0.500, 0.000, 0.000)
Nb (0.000, 0.000, 0.000)
Ba (0.500, 0.500, 0.500)

=====

Quick ranking, most stable first: version x, version w.

=====

Version w
Here is Ba2NbI after structural relaxation from Alexandria. Energies are from GGA-PBE.

Results
For the total moment, the calculation gives 4.75 μB/cell.

Cell: 6.083 6.083 6.083 Å, 60.00 60.00 60.00°
Fractional coordinates of all 4 atoms:
I (0.500, 0.500, 0.500)
Nb (0.000, 0.000, 0.000)
Ba (0.250, 0.250, 0.250)
Ba (0.750, 0.750, 0.750)

=====

Version x
Here is Ba2NbI after structural relaxation from Alexandria. Energies are from GGA-PBE.

Results
For the total moment, the calculation gives 8.08 μB/cell.

Cell: 9.132 9.132 7.866 Å, 54.51 54.51 90.00°
Fractional coordinates of all 8 atoms:
I (0.000, 0.000, 0.000)
I (0.750, 0.250, 0.500)
Nb (0.500, 0.500, 0.000)
Nb (0.250, 0.750, 0.500)
Ba (0.616, 0.125, 0.250)
Ba (0.134, 0.625, 0.250)
Ba (0.375, 0.384, 0.750)
Ba (0.875, 0.866, 0.750)

=====

Quick ranking, most stable first: version w, version x.